A relaxed ReTcHN2 crystal, computed with GGA-PBEsol.

Geometry as POSCAR:
```
ReTcHN2
1.0
3.766 0.000 0.000
0.000 3.766 0.000
0.000 0.000 2.987
Re Tc H N
1 1 1 2
Direct
0.000 0.000 0.000
0.500 0.500 0.000
0.500 0.500 0.500
0.000 0.500 0.500
0.500 0.000 0.500
```

Values from the calculation:
Final energy, eV for the cell shown: -38.43
Crystal system: tetragonal
Symmetry: P4/mmm (123)


A relaxed ReHWN2 crystal, computed with GGA-PBEsol.

Geometry as POSCAR:
```
ReHWN2
1.0
3.790 0.000 0.000
0.000 3.790 0.000
0.000 0.000 3.064
Re H W N
1 1 1 2
Direct
0.000 0.000 0.000
0.500 0.500 0.500
0.500 0.500 0.000
0.000 0.500 0.500
0.500 0.000 0.500
```

Values from the calculation:
Final energy, eV for the cell shown: -40.70
Crystal system: tetragonal
Symmetry: P4/mmm (123)


Which formula does entry 1 have? ReTcHN2